Run 1
DFT (GGA-PBE) results for a relaxed structure of SiAg2Hg.

Structure (POSCAR):
```
SiAg2Hg
1.0
2.863 0.502 0.000
-0.496 2.864 0.000
0.000 0.000 9.055
Ag Hg Si
2 1 1
Cartesian
0.000 0.000 9.011
1.183 1.683 2.095
0.000 0.000 4.475
1.183 1.683 7.057
```

Results
ρ	9.64	g/cm3

---

Run 2
DFT (GGA-PBE) results for a relaxed structure of SiAg2Hg.

Structure (POSCAR):
```
SiAg2Hg
1.0
4.185 0.000 0.000
0.000 4.206 0.000
0.000 0.000 4.229
Si Ag Hg
1 2 1
Cartesian
0.000 2.103 2.114
0.000 0.000 0.000
2.093 2.103 0.000
2.093 0.000 2.114
```

Results
ρ	9.91	g/cm3

---

Run 3
DFT (GGA-PBE) results for a relaxed structure of SiAg2Hg.

Structure (POSCAR):
```
SiAg2Hg
1.0
1.170 -4.219 1.853
-1.749 -1.310 4.223
-3.245 -3.466 0.258
Ag Hg Si
2 1 1
Cartesian
-0.956 -2.249 1.583
-2.867 -6.746 4.750
-1.912 -4.497 3.166
0.000 0.000 0.000
```

Results
ρ	9.71	g/cm3

---

Run 4
DFT (GGA-PBE) results for a relaxed structure of SiAg2Hg.

Structure (POSCAR):
```
SiAg2Hg
1.0
4.960 0.000 0.000
0.000 4.960 0.000
0.000 0.000 3.080
Hg Ag Si
1 2 1
Cartesian
2.480 0.000 1.540
0.000 0.000 0.000
2.480 2.480 0.000
0.000 2.480 1.540
```

Results
ρ	9.74	g/cm3

---

Relative energies, meV/atom: run 1 0; run 2 15; run 3 68; run 4 28.